1.
Density functional theory data (PBE-GGA) for crystalline ErAgAs at its relaxed geometry.

Energy relative to the elements: -0.506 eV per atom
Total DFT energy (no corrections): -4.527 eV/atom

Geometry as POSCAR:
```
ErAgAs
1.0
3.672 -3.672 0.000
3.672 3.672 0.000
-0.057 0.000 5.672
Er Ag As
2 2 2
Direct
0.250 0.750 0.000 Er
0.750 0.250 0.000 Er
0.248 0.248 0.677 Ag
0.752 0.752 0.323 Ag
0.251 0.251 0.217 As
0.749 0.749 0.783 As
```

---

2.
Density functional theory data (PBE-GGA) for crystalline CuBiBr2 at its relaxed geometry.

Energy relative to the lowest polymorph listed for this composition: 0.000 eV per atom
ΔE_f (raw): -0.23 eV per atom
Total DFT energy (no corrections): -3.059 eV/atom

Geometry as POSCAR:
```
CuBiBr2
1.0
1.873 1.081 8.800
-1.873 1.081 8.800
0.000 -2.163 8.800
Cu Bi Br
1 1 2
Direct
0.000 0.000 0.000 Cu
0.500 0.500 0.500 Bi
0.390 0.390 0.390 Br
0.610 0.610 0.610 Br
```

---

3.
Density functional theory data (PBE-GGA) for crystalline V3AgS6 at its relaxed geometry.

ΔE_f (raw): -0.58 eV per atom
Total DFT energy (no corrections): -6.073 eV/atom

Geometry as POSCAR:
```
V3AgS6
1.0
4.603 -5.933 0.000
4.603 5.933 0.000
0.000 0.000 6.404
V Ag S
6 2 12
Direct
0.089 0.911 0.500 V
0.175 0.421 0.579 V
0.421 0.175 0.079 V
0.579 0.825 0.579 V
0.825 0.579 0.079 V
0.911 0.089 0.000 V
0.298 0.702 0.090 Ag
0.702 0.298 0.590 Ag
0.037 0.604 0.354 S
0.140 0.195 0.284 S
0.195 0.140 0.784 S
0.267 0.733 0.708 S
0.396 0.963 0.354 S
0.490 0.510 0.554 S
0.510 0.490 0.054 S
0.604 0.037 0.854 S
0.733 0.267 0.208 S
0.805 0.860 0.284 S
0.860 0.805 0.784 S
0.963 0.396 0.854 S
```

---

4.
Density functional theory data (PBE-GGA) for crystalline Th2NpHg at its relaxed geometry.

Energy relative to the lowest polymorph listed for this composition: 0.144 eV per atom
Energy relative to the elements: 0.226 eV per atom
Total DFT energy (no corrections): -6.794 eV/atom

Geometry as POSCAR:
```
Th2NpHg
1.0
1.762 1.017 10.750
-1.762 1.017 10.750
0.000 -2.035 10.750
Th Np Hg
2 1 1
Direct
0.250 0.250 0.250 Th
0.750 0.750 0.750 Th
0.500 0.500 0.500 Np
0.000 0.000 0.000 Hg
```